Entry from Alexandria via LeMat-Bulk: a relaxed structure of Pr5Y12Tl3 (GGA-PBE).

Geometry as POSCAR:
```
Pr5Y12Tl3
1.0
-9.0825 6.8522 -10.9004
-9.0118 -8.4115 9.8131
7.7034 11.0776 8.1367
Tl Y Pr
12 48 20
Direct
0.6250 0.3750 0.7500 Tl
0.1250 0.2500 0.8750 Tl
0.2500 0.1250 0.3750 Tl
0.8750 0.7500 0.1250 Tl
0.8750 0.1250 0.2500 Tl
0.2500 0.6250 0.8750 Tl
0.7500 0.8750 0.6250 Tl
0.7500 0.3750 0.1250 Tl
0.1250 0.8750 0.7500 Tl
0.6250 0.2500 0.3750 Tl
0.3750 0.6250 0.2500 Tl
0.3750 0.7500 0.6250 Tl
0.6604 0.4283 0.5724 Y
0.3559 0.9283 0.7679 Y
0.5724 0.9283 0.6604 Y
0.7679 0.3396 0.9120 Y
0.8396 0.9276 0.0717 Y
0.9276 0.8396 0.5717 Y
0.5717 0.2321 0.1441 Y
0.3559 0.4276 0.0880 Y
0.4120 0.1441 0.5724 Y
0.4283 0.7679 0.8559 Y
0.8559 0.5880 0.9276 Y
0.2321 0.5717 0.6441 Y
0.1441 0.7321 0.5717 Y
0.5717 0.3396 0.9276 Y
0.3396 0.7679 0.4120 Y
0.2321 0.6604 0.0880 Y
0.9283 0.5724 0.1604 Y
0.8396 0.9120 0.2679 Y
0.5724 0.6441 0.4120 Y
0.7321 0.1441 0.0717 Y
0.5880 0.7321 0.6604 Y
0.4283 0.6604 0.0724 Y
0.4120 0.2679 0.3396 Y
0.8559 0.2679 0.4283 Y
0.6441 0.0717 0.2321 Y
0.4276 0.3559 0.5880 Y
0.9120 0.8396 0.7679 Y
0.0724 0.1604 0.4283 Y
0.5880 0.8559 0.4276 Y
0.9276 0.0880 0.8559 Y
0.0880 0.1604 0.2321 Y
0.0717 0.6441 0.7321 Y
0.6604 0.2321 0.5880 Y
0.9283 0.3559 0.2679 Y
0.0724 0.9120 0.1441 Y
0.1604 0.0880 0.7321 Y
0.9120 0.0724 0.6441 Y
0.0880 0.9276 0.3559 Y
0.0717 0.4276 0.8396 Y
0.4276 0.0717 0.3396 Y
0.7321 0.5880 0.1604 Y
0.6441 0.5724 0.9120 Y
0.3396 0.5717 0.4276 Y
0.2679 0.8559 0.9283 Y
0.7679 0.4283 0.3559 Y
0.1604 0.0724 0.9283 Y
0.1441 0.4120 0.0724 Y
0.2679 0.4120 0.8396 Y
0.0000 0.0000 0.0000 Pr
0.6250 0.7500 0.8750 Pr
0.1250 0.7500 0.3750 Pr
0.0000 0.5000 0.5000 Pr
0.5000 0.5000 0.5000 Pr
0.3750 0.2500 0.1250 Pr
0.7500 0.6250 0.3750 Pr
0.5000 0.0000 0.5000 Pr
0.0000 0.5000 0.0000 Pr
0.6250 0.8750 0.2500 Pr
0.0000 0.0000 0.5000 Pr
0.8750 0.2500 0.6250 Pr
0.1250 0.3750 0.2500 Pr
0.7500 0.1250 0.8750 Pr
0.5000 0.5000 0.0000 Pr
0.8750 0.6250 0.7500 Pr
0.2500 0.3750 0.6250 Pr
0.5000 0.0000 0.0000 Pr
0.2500 0.8750 0.1250 Pr
0.3750 0.1250 0.7500 Pr
```

- SG: Ia-3d, No. 230
- Energy of formation from the pure elements: 795 meV per atom
- Size of the total moment: 0.000 μB/atom